A plane-wave DFT calculation with PBE was carried out for an optimized crystal structure of KAg2IrF8.

Calculated values
- M_tot (μB/cell) = 1.9
- calculated total energy (eV per cell) = -49.5
- calculated volume (Å³ per cell) = 193.9
- formation energy (no corrections) (eV/atom) = -1.570

Cell lengths 4.7075, 7.5407, 5.5167 Å; angles 90.00, 97.96, 90.00 degrees
Space group P2/m (No. 10)
Symmetry-distinct sites (fractional):
K 0.0000 0.0000 0.0000 x1
Ag 0.5000 0.2417 0.5000 x2
Ir 0.0000 0.5000 0.0000 x1
F 0.1134 0.3143 0.7882 x4
F 0.3613 0.5000 0.2328 x2
F 0.4960 0.0000 0.7370 x2

***

A plane-wave DFT calculation with PBE was carried out for an optimized crystal structure of Li6Ag2Pd3.

Calculated values
- M_tot (μB/cell) = 0.0
- calculated total energy (eV per cell) = -65.1
- calculated volume (Å³ per cell) = 404.5
- distance to the lowest polymorph of the same formula (eV per atom) = 0.288

Cell lengths 4.6949, 4.6949, 18.3532 Å; angles 90.00, 90.00, 90.00 degrees
Space group I4/mmm (No. 139)
Symmetry-distinct sites (fractional):
Li 0.0000 0.0000 0.2136 x4
Li 0.0000 0.5000 0.0901 x8
Ag 0.0000 0.0000 0.0711 x4
Pd 0.0000 0.0000 0.3519 x4
Pd 0.0000 0.0000 0.5000 x2

***

A plane-wave DFT calculation with PBE was carried out for an optimized crystal structure of AcCeNdEu.

Calculated values
- M_tot (μB/cell) = 38.4
- calculated total energy (eV per cell) = -96.6
- calculated volume (Å³ per cell) = 613.9

Cell lengths 8.4988, 8.4988, 8.4988 Å; angles 90.00, 90.00, 90.00 degrees
Space group F-43m (No. 216)
Symmetry-distinct sites (fractional):
Ac 0.0000 0.0000 0.0000 x4
Ce 0.2500 0.2500 0.7500 x4
Nd 0.0000 0.0000 0.5000 x4
Eu 0.2500 0.2500 0.2500 x4